{
  "formula": "Tb5CeSm2",
  "functional": "PBE",
  "state": "optimized geometry",
  "lattice_angstrom": [[8.180, 0.000, -4.996], [0.000, 5.725, 0.000], [-8.784, 0.000, 27.606]],
  "species": ["Tb", "Tb", "Tb", "Tb", "Tb", "Tb", "Tb", "Tb", "Tb", "Tb", "Tb", "Tb", "Tb", "Tb", "Tb", "Tb", "Tb", "Tb", "Tb", "Tb", "Sm", "Sm", "Sm", "Sm", "Sm", "Sm", "Sm", "Sm", "Ce", "Ce", "Ce", "Ce"],
  "fractional_positions": [[0.672, 0.250, 0.357], [0.339, 0.751, 0.897], [0.661, 0.251, 0.603], [0.169, 0.250, 0.417], [0.329, 0.750, 0.521], [0.339, 0.749, 0.397], [0.835, 0.750, 0.834], [0.831, 0.750, 0.583], [0.165, 0.250, 0.666], [0.329, 0.750, 0.021], [0.831, 0.750, 0.083], [0.328, 0.750, 0.643], [0.835, 0.750, 0.334], [0.671, 0.250, 0.479], [0.671, 0.250, 0.979], [0.169, 0.250, 0.917], [0.661, 0.249, 0.103], [0.165, 0.250, 0.166], [0.328, 0.750, 0.143], [0.672, 0.250, 0.857], [0.163, 0.249, 0.291], [0.340, 0.750, 0.773], [0.837, 0.749, 0.209], [0.660, 0.250, 0.227], [0.163, 0.251, 0.791], [0.837, 0.751, 0.709], [0.660, 0.250, 0.727], [0.340, 0.750, 0.273], [0.845, 0.750, 0.961], [0.155, 0.250, 0.039], [0.845, 0.750, 0.461], [0.155, 0.250, 0.539]],
  "dos_ef_per_ev_atom": 2.10,
  "total_magnetization_mub_per_cell": 3.8,
  "polymorph_energy_ev_per_fu": 0.03,
  "delta_e_f_ev_per_atom": 0.05
}